This record from the Alexandria database describes a relaxed CoHgAs2 crystal. The functional is PBE.

formation enthalpy at 0 K	2.12	eV per formula unit
crystal system	orthorhombic

Cell lengths 4.6257, 4.6257, 3.5108 Å; angles 90.00, 90.00, 106.40 degrees
Last column: nearest neighbours and their distance in Å.
Sites, in units of the cell vectors:
As1 0.0000 0.0000 0.0000  2 As 2.77, 4 Co 2.90, 4 Hg 2.90
Hg1 0.0000 0.5000 0.5000  2 Co 2.77, 8 As 2.90
As2 0.5000 0.5000 0.0000  2 As 2.77, 4 Hg 2.90, 4 Co 2.90
Co1 0.5000 0.0000 0.5000  2 Hg 2.77, 8 As 2.90

This record from the Alexandria database describes a relaxed K2ZnRu crystal. The functional is PBE.

formation enthalpy at 0 K	3.66	eV per formula unit
crystal system	orthorhombic

Cell lengths 3.0256, 3.0256, 11.0822 Å; angles 90.00, 90.00, 90.29 degrees
Last column: nearest neighbours and their distance in Å.
Sites, in units of the cell vectors:
K1 0.0000 0.0000 0.0169  4 K 3.03, 4 Ru 3.35-3.36
K2 0.0000 0.0000 0.4831  4 K 3.03, 4 Ru 3.35-3.36
Zn1 0.5000 0.5000 0.7500  4 Zn 3.03
Ru1 0.5000 0.5000 0.2500  4 Ru 3.03, 8 K 3.35-3.36